The following is a DFT calculation (PBE with a Hubbard U) of a relaxed RbTcWO6 crystal.

The space group is P312. For the total energy, the calculation gives -7.082 eV per atom. The calculation puts the density of states at the Fermi level at 0.30 states/eV per atom.

a b c (Å): 5.3373 5.3358 6.3174
angles (deg): 90.00 89.99 60.01
Element x y z (fractional)
O 0.9969 0.6021 0.6749
O 0.6021 0.4010 0.6749
O 0.6021 0.9969 0.3251
O 0.4011 0.6020 0.3251
O 0.4010 0.9969 0.6749
O 0.9968 0.4010 0.3250
Tc 0.3332 0.3334 0.5000
Rb 0.0000 0.0000 0.0000
W 0.6667 0.6666 0.5000